Record 1
A relaxed structure of Bi2IrCl, computed with GGA-PBE.

**Volume**: 34.73 Å³/atom
**E_form (uncorrected)**: 8.07 kJ per mole of atoms

a b c (Å): 7.9724 7.9724 7.9724
angles (deg): 131.56 131.56 70.92
Sites, in units of the cell vectors:
Bi (0.0614, 0.6250, 0.9364)
Bi (0.3750, 0.3114, 0.4364)
Bi (0.6886, 0.1250, 0.0636)
Bi (0.8750, 0.9386, 0.5636)
Ir (0.0000, 0.0000, 0.0000)
Ir (0.7500, 0.2500, 0.5000)
Cl (0.2500, 0.7500, 0.5000)
Cl (0.5000, 0.5000, 0.0000)

Record 2
A relaxed structure of Bi5IrCl2, computed with GGA-PBE.

**Volume**: 29.54 Å³/atom
**E_form (uncorrected)**: -11.51 kJ per mole of atoms

a b c (Å): 6.8396 6.8396 6.8300
angles (deg): 103.27 103.27 122.63
Sites, in units of the cell vectors:
Bi (0.0000, 0.0000, 0.0000)
Bi (0.0053, 0.5550, 0.5499)
Bi (0.2179, 0.2179, 0.5505)
Bi (0.5520, 0.5520, 0.1004)
Bi (0.5550, 0.0053, 0.5499)
Ir (0.8067, 0.8067, 0.5501)
Cl (0.2809, 0.7813, 0.0504)
Cl (0.7813, 0.2809, 0.0504)

Record 3
A relaxed structure of Bi2IrCl2, computed with GGA-PBE.

**Volume**: 28.46 Å³/atom
**E_form (uncorrected)**: -1.81 kJ per mole of atoms

a b c (Å): 7.1953 7.1953 5.4969
angles (deg): 90.00 90.00 90.00
Sites, in units of the cell vectors:
Bi (0.1565, 0.3435, 0.0000)
Bi (0.3435, 0.8435, 0.0000)
Bi (0.6565, 0.1565, 0.0000)
Bi (0.8435, 0.6565, 0.0000)
Ir (0.0000, 0.0000, 0.0000)
Ir (0.5000, 0.5000, 0.0000)
Cl (0.1832, 0.3168, 0.5000)
Cl (0.3168, 0.8168, 0.5000)
Cl (0.6832, 0.1832, 0.5000)
Cl (0.8168, 0.6832, 0.5000)

Record 4
A relaxed structure of BiIrCl2, computed with GGA-PBE.

**Volume**: 21.74 Å³/atom
**E_form (uncorrected)**: 23.64 kJ per mole of atoms

a b c (Å): 9.5291 9.5291 9.5291
angles (deg): 19.82 19.82 19.82
Sites, in units of the cell vectors:
Bi (0.0000, 0.0000, 0.0000)
Ir (0.5000, 0.5000, 0.5000)
Cl (0.4189, 0.4189, 0.4189)
Cl (0.5811, 0.5811, 0.5811)

Record 5
A relaxed structure of BiIrCl2, computed with GGA-PBE.

**Volume**: 28.22 Å³/atom
**E_form (uncorrected)**: 29.87 kJ per mole of atoms

a b c (Å): 10.6752 10.6752 10.6752
angles (deg): 19.02 19.02 19.02
Sites, in units of the cell vectors:
Bi (0.0000, 0.0000, 0.0000)
Ir (0.5000, 0.5000, 0.5000)
Cl (0.1237, 0.1237, 0.1237)
Cl (0.8763, 0.8763, 0.8763)

Record 6
A relaxed structure of Bi6IrCl2, computed with GGA-PBE.

**Volume**: 30.85 Å³/atom
**E_form (uncorrected)**: -17.35 kJ per mole of atoms

a b c (Å): 9.2503 9.2503 9.2107
angles (deg): 95.74 95.74 133.26
Sites, in units of the cell vectors:
Bi (0.0614, 0.8746, 0.9463)
Bi (0.1245, 0.4355, 0.7496)
Bi (0.1254, 0.9386, 0.5537)
Bi (0.3134, 0.3863, 0.3591)
Bi (0.3863, 0.3134, 0.8591)
Bi (0.4355, 0.1245, 0.2496)
Bi (0.5645, 0.8755, 0.7504)
Bi (0.6137, 0.6866, 0.1409)
Bi (0.6866, 0.6137, 0.6409)
Bi (0.8746, 0.0614, 0.4463)
Bi (0.8755, 0.5645, 0.2504)
Bi (0.9386, 0.1254, 0.0537)
Ir (0.0453, 0.9547, 0.2500)
Ir (0.9547, 0.0453, 0.7500)
Cl (0.2630, 0.6783, 0.0381)
Cl (0.3217, 0.7370, 0.4619)
Cl (0.6783, 0.2630, 0.5381)
Cl (0.7370, 0.3217, 0.9619)

Record 7
A relaxed structure of Bi2IrCl2, computed with GGA-PBE.

**Volume**: 25.29 Å³/atom
**E_form (uncorrected)**: 23.41 kJ per mole of atoms

a b c (Å): 9.8927 9.8927 9.8927
angles (deg): 158.81 158.81 30.15
Sites, in units of the cell vectors:
Bi (0.0815, 0.0815, 0.0000)
Bi (0.9185, 0.9185, 0.0000)
Ir (0.5000, 0.5000, 0.0000)
Cl (0.2500, 0.7500, 0.5000)
Cl (0.7500, 0.2500, 0.5000)

Record 8
A relaxed structure of BiIr2Cl, computed with GGA-PBE.

**Volume**: 18.20 Å³/atom
**E_form (uncorrected)**: 84.68 kJ per mole of atoms

a b c (Å): 4.6873 4.6873 4.6873
angles (deg): 60.00 60.00 60.00
Sites, in units of the cell vectors:
Bi (0.0000, 0.0000, 0.0000)
Ir (0.2500, 0.2500, 0.2500)
Ir (0.7500, 0.7500, 0.7500)
Cl (0.5000, 0.5000, 0.5000)